GdSbPtRh | Alexandria | GGA-PBE | relaxed; raw formation energy = -704 meV/atom; SG = F-43m, No. 216; crystal system = cubic
1.0
0.000 3.405 3.405
3.405 0.000 3.405
3.405 3.405 0.000
Gd Sb Pt Rh
1 1 1 1
Direct
0.000 0.000 0.000 Gd
0.500 0.500 0.500 Sb
0.750 0.750 0.750 Pt
0.250 0.250 0.250 Rh

***

GdScPtRh | Alexandria | GGA-PBE | relaxed; SG = F-43m, No. 216; crystal system = cubic; DFT formation energy = -0.997 eV/atom
1.0
0.000 3.388 3.388
3.388 0.000 3.388
3.388 3.388 0.000
Gd Sc Pt Rh
1 1 1 1
Direct
0.000 0.000 0.000 Gd
0.500 0.500 0.500 Sc
0.750 0.750 0.750 Pt
0.250 0.250 0.250 Rh

***

GdThPtRh | Alexandria | GGA-PBE | relaxed; SG = F-43m, No. 216; crystal system = cubic; DFT formation energy = -0.921 eV/atom
1.0
0.000 3.555 3.555
3.555 0.000 3.555
3.555 3.555 0.000
Gd Th Pt Rh
1 1 1 1
Direct
0.000 0.000 0.000 Gd
0.500 0.500 0.500 Th
0.250 0.250 0.250 Pt
0.750 0.750 0.750 Rh

***

DOS(E_F) (computed, states/eV/f.u.): 2.487, 1.469, 4.673
Magnetization (computed, μB per formula unit): 7.03, 7.02, 7.35